# 1
VASP calculation (PBE) on a relaxed structure of ScSbH2.

abc: 4.294 4.294 12.052
angles: 90.00 90.00 90.00
Space group I-42d (No. 122)
Unique sites:
Sc 0.000 0.000 0.000 (multiplicity 4)
Sb 0.000 0.000 0.500 (multiplicity 4)
H 0.108 0.250 0.125 (multiplicity 8)

Summary:
The calculation puts the energy above the lowest structure with this stoichiometry at 263 meV/atom.

# 2
VASP calculation (PBE) on a relaxed structure of K2Sr2Ca.

abc: 5.156 5.156 22.566
angles: 90.00 90.00 90.00
Space group I4/mmm (No. 139)
Unique sites:
K 0.000 0.500 0.250 (multiplicity 4)
Sr 0.000 0.000 0.088 (multiplicity 4)
Ca 0.000 0.000 0.500 (multiplicity 2)

Summary:
The calculation puts the energy above the lowest structure with this stoichiometry at 0 meV/atom. As for the formation enthalpy at 0 K: 0.26 eV/atom.

# 3
VASP calculation (PBE) on a relaxed structure of TbSm4Sb2.

abc: 5.364 5.364 16.827
angles: 90.00 90.00 90.00
Space group I4/mmm (No. 139)
Unique sites:
Tb 0.000 0.000 0.000 (multiplicity 2)
Sm 0.000 0.000 0.184 (multiplicity 4)
Sm 0.000 0.500 0.000 (multiplicity 4)
Sb 0.000 0.000 0.367 (multiplicity 4)

Summary:
For the raw formation energy, the calculation gives 145 meV per atom.

# 4
VASP calculation (PBE) on a relaxed structure of K2DyGaO4.

abc: 5.868 5.868 8.593
angles: 90.00 90.00 90.00
Space group I-4 (No. 82)
Unique sites:
K 0.000 0.000 0.000 (multiplicity 2)
K 0.000 0.500 0.250 (multiplicity 2)
Dy 0.000 0.000 0.500 (multiplicity 2)
Ga 0.000 0.500 0.750 (multiplicity 2)
O 0.147 0.272 0.633 (multiplicity 8)

Summary:
For the raw formation energy, the calculation gives -2236 meV per atom.

# 5
VASP calculation (PBE) on a relaxed structure of Ce2PO6.

abc: 5.272 5.852 8.837
angles: 90.00 123.33 90.00
Space group P2_1/c (No. 14)
Unique sites:
Ce 0.225 0.082 0.253 (multiplicity 4)
P 0.500 0.000 0.000 (multiplicity 2)
O 0.183 0.145 0.957 (multiplicity 4)
O 0.300 0.739 0.938 (multiplicity 4)
O 0.388 0.042 0.780 (multiplicity 4)

Summary:
For the raw formation energy, the calculation gives -2869 meV per atom.

# 6
VASP calculation (PBE) on a relaxed structure of SrIn2W.

abc: 9.826 3.070 6.534
angles: 90.00 96.80 90.00
Space group C2/m (No. 12)
Unique sites:
Sr 0.000 0.000 0.000 (multiplicity 2)
In 0.239 0.000 0.698 (multiplicity 4)
W 0.000 0.500 0.500 (multiplicity 2)

Summary:
The calculation puts the energy above the lowest structure with this stoichiometry at 114 meV/atom. As for the formation enthalpy at 0 K: 0.48 eV/atom.

Computed values of total moment (unit: Bohr magnetons per cell) for the preceding records, in sequence: 0.00; 0.00; 0.00; 0.00; 2.06; 0.00.